Ca10Nb5InO24 | Alexandria via LeMat-Bulk | GGA-PBEsol | optimized geometry; calculated volume = 12.73 Å³ per atom; raw formation energy = -2853 meV/atom; crystal system = triclinic; space group = No. 1; total magnetic moment = 0.05 μB per formula unit
1.0
-5.6735 -4.3597 3.5450
5.6364 -2.6709 4.9755
-1.5442 9.5667 0.7301
Ca O In Nb
10 24 1 5
direct
0.5820 0.1381 0.7375
0.4060 0.3459 0.2629
0.5912 0.6503 0.7330
0.8909 0.3425 0.2348
0.2438 0.7457 0.4934
0.8899 0.8393 0.2523
0.0004 0.9985 0.9984
0.1077 0.1667 0.7482
0.0964 0.6475 0.7607
0.4212 0.8665 0.2644
0.4666 0.1698 0.4592
0.2395 0.0504 0.5718
0.8525 0.2946 0.7620
0.2967 0.9714 0.0625
0.0885 0.3145 0.0777
0.4459 0.4126 0.7640
0.2285 0.5161 0.9450
0.5498 0.5866 0.2376
0.7732 0.9627 0.4392
0.9088 0.6823 0.9114
0.9345 0.6540 0.4085
0.7202 0.5305 0.5422
0.6537 0.1849 0.2429
0.9605 0.8970 0.7278
0.0508 0.1027 0.2717
0.5760 0.7708 0.0533
0.0486 0.3395 0.5735
0.1422 0.7093 0.2214
0.7082 0.0355 0.9511
0.3032 0.4648 0.4676
0.3510 0.8079 0.7707
0.7690 0.4769 0.0466
0.5503 0.8286 0.5504
0.4216 0.2265 0.9538
0.7540 0.2514 0.5043
0.7650 0.7549 0.5062
0.2400 0.2446 0.4952
0.4911 0.5104 0.0000
0.9891 0.5005 0.0018
0.4915 0.0075 0.9953